Pm5US6 | GGA-PBE | relaxed

Values from the calculation:
calculated total energy: -6.888 eV/atom
ΔE_f (raw): -22.85 eV/f.u.

Geometry as extended XYZ:
```
12
Lattice="-5.326 4.017 1.979 -0.486 -0.027 6.931 3.432 4.722 3.742" Properties=species:S:1:pos:R:3 pbc="T T T"
S -2.949 4.568 3.278
S -0.475 2.500 5.811
S -1.448 0.996 2.180
S -4.364 2.993 6.730
S -1.906 6.212 6.840
S 0.568 4.144 9.373
U 0.000 0.000 0.000
Pm -0.500 5.095 4.636
Pm 0.989 1.574 3.558
Pm -2.906 1.995 4.455
Pm 1.957 3.121 7.115
Pm -1.880 3.617 8.016
```

=====

GdLuCuSi | GGA-PBE | relaxed

Values from the calculation:
calculated total energy: -7.456 eV/atom
ΔE_f (raw): -1.70 eV/f.u.

Geometry as extended XYZ:
```
4
Lattice="-3.130 -2.317 -2.975 -0.191 -4.897 -0.022 -3.901 -2.308 1.864" Properties=species:S:1:pos:R:3 pbc="T T T"
Si -3.611 -4.761 -0.566
Gd -1.805 -2.380 -0.283
Lu -5.416 -7.141 -0.850
Cu 0.000 0.000 0.000
```

=====

ZnBiSb2 | GGA-PBE | relaxed

Values from the calculation:
calculated total energy: -3.184 eV/atom
offset from the most stable computed form: 66 meV/atom
ΔE_f (raw): 0.66 eV/f.u.

Geometry as extended XYZ:
```
4
Lattice="-1.121 -0.366 3.182 1.013 -2.650 1.862 8.454 4.813 5.342" Properties=species:S:1:pos:R:3 pbc="T T T"
Sb 5.903 3.064 4.242
Sb 2.443 -1.267 6.144
Zn 4.173 0.899 5.193
Bi 0.000 0.000 0.000
```

=====

HoMg2Pb | GGA-PBE | relaxed

Values from the calculation:
calculated total energy: -2.681 eV/atom
offset from the most stable computed form: 479 meV/atom
energy of formation from the pure elements: 0.19 eV/atom

Geometry as extended XYZ:
```
4
Lattice="-2.160 -1.839 -1.771 -2.478 -1.624 1.551 -8.443 8.161 -1.336" Properties=species:S:1:pos:R:3 pbc="T T T"
Pb -6.540 2.349 -0.777
Mg -6.561 5.619 -0.991
Mg -6.520 -0.921 -0.564
Ho 0.000 0.000 0.000
```

=====

ZrCrPd14 | GGA-PBE | relaxed

Values from the calculation:
calculated total energy: -5.908 eV/atom
energy of formation from the pure elements: -0.23 eV/atom

Geometry as extended XYZ:
```
16
Lattice="-5.030 -0.550 -2.433 2.339 -2.943 -4.170 -1.220 -6.687 4.034" Properties=species:S:1:pos:R:3 pbc="T T T"
Zr -4.108 -0.849 -2.650
Cr -0.424 -2.046 -3.519
Pd -1.035 -5.389 -1.502
Pd -4.719 -4.192 -0.633
Pd -2.939 -2.320 -4.735
Pd -3.550 -5.663 -2.718
Pd -1.594 -0.574 -1.434
Pd -2.204 -3.918 0.583
Pd -2.011 -7.948 -2.119
Pd -1.394 -4.563 -4.161
Pd -0.676 -6.214 1.158
Pd -0.058 -2.830 -0.884
Pd 0.484 -7.675 -0.912
Pd 1.102 -4.290 -2.954
Pd -3.171 -6.488 -0.050
Pd -2.554 -3.103 -2.092
```

=====

AcScTlZn | GGA-PBE | relaxed

Values from the calculation:
calculated total energy: -3.721 eV/atom
energy of formation from the pure elements: -0.20 eV/atom

Geometry as extended XYZ:
```
4
Lattice="-2.172 0.825 4.855 2.910 -0.897 4.438 1.651 4.139 3.018" Properties=species:S:1:pos:R:3 pbc="T T T"
Sc 0.597 1.017 3.078
Zn 0.000 0.000 0.000
Ac 1.792 3.051 9.233
Tl 1.195 2.034 6.155
```

=====

KMnIr | GGA-PBE | relaxed

Values from the calculation:
calculated total energy: -4.372 eV/atom
offset from the most stable computed form: 1572 meV/atom
energy of formation from the pure elements: 2.00 eV/atom

Geometry as extended XYZ:
```
3
Lattice="-0.785 -3.893 -2.494 3.216 -1.513 -3.059 2.445 -3.897 0.905" Properties=species:S:1:pos:R:3 pbc="T T T"
Ir 2.438 -4.652 -2.324
K 3.657 -6.977 -3.485
Mn 0.000 0.000 0.000
```

=====

Ba2NaHgH | GGA-PBE | relaxed

Values from the calculation:
calculated total energy: -1.955 eV/atom
offset from the most stable computed form: 133 meV/atom

Geometry as extended XYZ:
```
5
Lattice="5.629 0.000 0.000 0.000 5.629 0.000 0.000 0.000 5.152" Properties=species:S:1:pos:R:3 pbc="T T T"
Na 2.814 2.814 2.576
Hg 0.000 0.000 2.576
H 0.000 0.000 0.000
Ba 0.000 2.814 0.000
Ba 2.814 0.000 0.000
```